Run one
This record from Alexandria via LeMat-Bulk describes an optimized crystal structure of Y2BeGe3. The functional is PBE.

Output
Space group ... No. 69

Cell and atoms, written as CIF:
```
data_Y2BeGe3
_chemical_formula_sum 'Y4 Be2 Ge6'
_cell_length_a 5.737
_cell_length_b 5.737
_cell_length_c 8.122
_cell_angle_alpha 110.85
_cell_angle_beta 110.85
_cell_angle_gamma 89.56
_symmetry_space_group_name_H-M 'P 1'
_symmetry_Int_Tables_number 1
_symmetry_space_group_name_Hall 'P 1'
loop_
_atom_site_label
_atom_site_fract_x
_atom_site_fract_y
_atom_site_fract_z
_atom_site_occupancy
Ge1 0.357 0.357 0.175 1
Ge2 0.175 0.175 0.351 1
Ge3 0.643 0.643 0.825 1
Ge4 0.819 0.819 0.175 1
Ge5 0.825 0.825 0.649 1
Ge6 0.181 0.181 0.825 1
Be1 0.667 0.667 0.334 1
Be2 0.333 0.333 0.666 1
Y1 0.757 0.243 0.000 1
Y2 0.243 0.757 0.000 1
Y3 0.250 0.750 0.500 1
Y4 0.750 0.250 0.500 1
```

=====

Run two
This record from Alexandria via LeMat-Bulk describes an optimized crystal structure of Y2BeGe3. The functional is PBE.

Output
Space group ... No. 25

Cell and atoms, written as CIF:
```
data_Y2BeGe3
_chemical_formula_sum 'Y2 Be1 Ge3'
_cell_length_a 4.056
_cell_length_b 4.079
_cell_length_c 7.055
_cell_angle_alpha 90.00
_cell_angle_beta 90.00
_cell_angle_gamma 90.00
_symmetry_space_group_name_H-M 'P 1'
_symmetry_Int_Tables_number 1
_symmetry_space_group_name_Hall 'P 1'
loop_
_atom_site_label
_atom_site_fract_x
_atom_site_fract_y
_atom_site_fract_z
_atom_site_occupancy
Y1 0.000 0.500 0.003 1
Y2 0.000 0.000 0.500 1
Ge1 0.500 0.000 0.192 1
Ge2 0.500 0.500 0.641 1
Ge3 0.500 0.000 0.840 1
Be1 0.500 0.500 0.325 1
```

=====

What should be chosen as the least stable of them? Choose run two.

=====

Run one
This record from Alexandria via LeMat-Bulk describes an optimized crystal structure of Y2BeGe2. The functional is PBE.

Output
Space group ... No. 139

Cell and atoms, written as CIF:
```
data_Y2BeGe2
_chemical_formula_sum 'Y2 Be1 Ge2'
_cell_length_a 5.761
_cell_length_b 5.761
_cell_length_c 5.387
_cell_angle_alpha 57.68
_cell_angle_beta 57.68
_cell_angle_gamma 90.00
_symmetry_space_group_name_H-M 'P 1'
_symmetry_Int_Tables_number 1
_symmetry_space_group_name_Hall 'P 1'
loop_
_atom_site_label
_atom_site_fract_x
_atom_site_fract_y
_atom_site_fract_z
_atom_site_occupancy
Ge1 0.317 0.317 0.366 1
Ge2 0.683 0.683 0.634 1
Y1 0.750 0.250 0.500 1
Y2 0.250 0.750 0.500 1
Be1 0.000 0.000 0.000 1
```

=====

Run two
This record from Alexandria via LeMat-Bulk describes an optimized crystal structure of Y2BeGe2. The functional is PBE.

Output
Space group ... No. 127

Cell and atoms, written as CIF:
```
data_Y2BeGe2
_chemical_formula_sum 'Y4 Be2 Ge4'
_cell_length_a 6.797
_cell_length_b 6.797
_cell_length_c 4.388
_cell_angle_alpha 90.00
_cell_angle_beta 90.00
_cell_angle_gamma 90.00
_symmetry_space_group_name_H-M 'P 1'
_symmetry_Int_Tables_number 1
_symmetry_space_group_name_Hall 'P 1'
loop_
_atom_site_label
_atom_site_fract_x
_atom_site_fract_y
_atom_site_fract_z
_atom_site_occupancy
Y1 0.176 0.676 0.500 1
Y2 0.324 0.176 0.500 1
Y3 0.676 0.824 0.500 1
Y4 0.824 0.324 0.500 1
Ge1 0.368 0.868 0.000 1
Ge2 0.132 0.368 0.000 1
Ge3 0.868 0.632 0.000 1
Ge4 0.632 0.132 0.000 1
Be1 0.500 0.500 0.000 1
Be2 0.000 0.000 0.000 1
```

=====

What should be chosen as the least stable of them? Choose run one.

=====

Run one
This record from Alexandria via LeMat-Bulk describes an optimized crystal structure of YBe3Ge. The functional is PBE.

Output
Space group ... No. 221

Cell and atoms, written as CIF:
```
data_YBe3Ge
_chemical_formula_sum 'Y1 Be3 Ge1'
_cell_length_a 4.320
_cell_length_b 4.320
_cell_length_c 4.320
_cell_angle_alpha 90.00
_cell_angle_beta 90.00
_cell_angle_gamma 90.00
_symmetry_space_group_name_H-M 'P 1'
_symmetry_Int_Tables_number 1
_symmetry_space_group_name_Hall 'P 1'
loop_
_atom_site_label
_atom_site_fract_x
_atom_site_fract_y
_atom_site_fract_z
_atom_site_occupancy
Ge1 0.000 0.000 0.000 1
Be1 0.000 0.500 0.000 1
Be2 0.500 0.000 0.000 1
Be3 0.000 0.000 0.500 1
Y1 0.500 0.500 0.500 1
```

=====

Run two
This record from Alexandria via LeMat-Bulk describes an optimized crystal structure of YBe3Ge. The functional is PBE.

Output
Space group ... No. 221

Cell and atoms, written as CIF:
```
data_YBe3Ge
_chemical_formula_sum 'Y1 Be3 Ge1'
_cell_length_a 4.959
_cell_length_b 4.959
_cell_length_c 4.959
_cell_angle_alpha 90.00
_cell_angle_beta 90.00
_cell_angle_gamma 90.00
_symmetry_space_group_name_H-M 'P 1'
_symmetry_Int_Tables_number 1
_symmetry_space_group_name_Hall 'P 1'
loop_
_atom_site_label
_atom_site_fract_x
_atom_site_fract_y
_atom_site_fract_z
_atom_site_occupancy
Be1 0.000 0.500 0.000 1
Be2 0.000 0.000 0.500 1
Be3 0.500 0.000 0.000 1
Y1 0.000 0.000 0.000 1
Ge1 0.500 0.500 0.500 1
```

=====

What should be chosen as the least stable of them? Choose run two.

=====

Run one
This record from Alexandria via LeMat-Bulk describes an optimized crystal structure of BeZnGe3. The functional is PBE.

Output
Space group ... No. 221

Cell and atoms, written as CIF:
```
data_BeZnGe3
_chemical_formula_sum 'Be1 Zn1 Ge3'
_cell_length_a 4.805
_cell_length_b 4.805
_cell_length_c 4.805
_cell_angle_alpha 90.00
_cell_angle_beta 90.00
_cell_angle_gamma 90.00
_symmetry_space_group_name_H-M 'P 1'
_symmetry_Int_Tables_number 1
_symmetry_space_group_name_Hall 'P 1'
loop_
_atom_site_label
_atom_site_fract_x
_atom_site_fract_y
_atom_site_fract_z
_atom_site_occupancy
Ge1 0.000 0.000 0.500 1
Ge2 0.500 0.000 0.000 1
Ge3 0.000 0.500 0.000 1
Be1 0.500 0.500 0.500 1
Zn1 0.000 0.000 0.000 1
```

=====

Run two
This record from Alexandria via LeMat-Bulk describes an optimized crystal structure of BeZnGe3. The functional is PBE.

Output
Space group ... No. 221

Cell and atoms, written as CIF:
```
data_BeZnGe3
_chemical_formula_sum 'Be1 Zn1 Ge3'
_cell_length_a 4.527
_cell_length_b 4.527
_cell_length_c 4.527
_cell_angle_alpha 90.00
_cell_angle_beta 90.00
_cell_angle_gamma 90.00
_symmetry_space_group_name_H-M 'P 1'
_symmetry_Int_Tables_number 1
_symmetry_space_group_name_Hall 'P 1'
loop_
_atom_site_label
_atom_site_fract_x
_atom_site_fract_y
_atom_site_fract_z
_atom_site_occupancy
Ge1 0.000 0.000 0.500 1
Ge2 0.000 0.500 0.000 1
Ge3 0.500 0.000 0.000 1
Be1 0.000 0.000 0.000 1
Zn1 0.500 0.500 0.500 1
```

=====

What should be chosen as the least stable of them? Choose run one.

=====

Run one
This record from Alexandria via LeMat-Bulk describes an optimized crystal structure of BeH3. The functional is PBE.

Output
Space group ... No. 25

Cell and atoms, written as CIF:
```
data_BeH3
_chemical_formula_sum 'Be1 H3'
_cell_length_a 1.921
_cell_length_b 2.359
_cell_length_c 5.951
_cell_angle_alpha 90.00
_cell_angle_beta 90.00
_cell_angle_gamma 90.00
_symmetry_space_group_name_H-M 'P 1'
_symmetry_Int_Tables_number 1
_symmetry_space_group_name_Hall 'P 1'
loop_
_atom_site_label
_atom_site_fract_x
_atom_site_fract_y
_atom_site_fract_z
_atom_site_occupancy
H1 0.500 0.000 0.799 1
H2 0.000 0.500 0.445 1
H3 0.500 0.500 0.109 1
Be1 0.000 0.000 0.980 1
```

=====

Run two
This record from Alexandria via LeMat-Bulk describes an optimized crystal structure of BeH3. The functional is PBE.

Output
Space group ... No. 44

Cell and atoms, written as CIF:
```
data_BeH3
_chemical_formula_sum 'Be1 H3'
_cell_length_a 1.890
_cell_length_b 4.114
_cell_length_c 4.323
_cell_angle_alpha 118.41
_cell_angle_beta 102.63
_cell_angle_gamma 90.00
_symmetry_space_group_name_H-M 'P 1'
_symmetry_Int_Tables_number 1
_symmetry_space_group_name_Hall 'P 1'
loop_
_atom_site_label
_atom_site_fract_x
_atom_site_fract_y
_atom_site_fract_z
_atom_site_occupancy
H1 0.638 0.032 0.277 1
H2 0.500 0.335 0.000 1
H3 0.362 0.755 0.723 1
Be1 0.000 0.045 0.000 1
```

=====

What should be chosen as the least stable of them? Choose run one.

=====

Run one
This record from Alexandria via LeMat-Bulk describes an optimized crystal structure of BeH2. The functional is PBE.

Output
Space group ... No. 72

Cell and atoms, written as CIF:
```
data_BeH2
_chemical_formula_sum 'Be6 H12'
_cell_length_a 6.173
_cell_length_b 6.173
_cell_length_c 6.173
_cell_angle_alpha 141.58
_cell_angle_beta 104.23
_cell_angle_gamma 88.32
_symmetry_space_group_name_H-M 'P 1'
_symmetry_Int_Tables_number 1
_symmetry_space_group_name_Hall 'P 1'
loop_
_atom_site_label
_atom_site_fract_x
_atom_site_fract_y
_atom_site_fract_z
_atom_site_occupancy
Be1 0.750 0.000 0.750 1
Be2 0.332 0.713 0.381 1
Be3 0.668 0.287 0.619 1
Be4 0.168 0.049 0.881 1
Be5 0.832 0.951 0.119 1
Be6 0.250 0.000 0.250 1
H1 0.758 0.142 0.078 1
H2 0.258 0.680 0.116 1
H3 0.436 0.320 0.578 1
H4 0.064 0.142 0.384 1
H5 0.685 0.954 0.268 1
H6 0.564 0.680 0.422 1
H7 0.185 0.417 0.232 1
H8 0.742 0.320 0.884 1
H9 0.815 0.583 0.768 1
H10 0.315 0.046 0.732 1
H11 0.242 0.858 0.922 1
H12 0.936 0.858 0.616 1
```

=====

Run two
This record from Alexandria via LeMat-Bulk describes an optimized crystal structure of BeH2. The functional is PBE.

Output
Space group ... No. 136

Cell and atoms, written as CIF:
```
data_BeH2
_chemical_formula_sum 'Be4 H8'
_cell_length_a 3.816
_cell_length_b 4.451
_cell_length_c 4.451
_cell_angle_alpha 117.81
_cell_angle_beta 90.00
_cell_angle_gamma 90.00
_symmetry_space_group_name_H-M 'P 1'
_symmetry_Int_Tables_number 1
_symmetry_space_group_name_Hall 'P 1'
loop_
_atom_site_label
_atom_site_fract_x
_atom_site_fract_y
_atom_site_fract_z
_atom_site_occupancy
Be1 0.000 0.250 0.250 1
Be2 0.000 0.750 0.750 1
Be3 0.500 0.250 0.750 1
Be4 0.500 0.750 0.250 1
H1 0.196 0.099 0.901 1
H2 0.304 0.599 0.901 1
H3 0.304 0.099 0.401 1
H4 0.804 0.401 0.599 1
H5 0.696 0.901 0.599 1
H6 0.196 0.599 0.401 1
H7 0.696 0.401 0.099 1
H8 0.804 0.901 0.099 1
```

=====

Run three
This record from Alexandria via LeMat-Bulk describes an optimized crystal structure of BeH2. The functional is PBE.

Output
Space group ... No. 5

Cell and atoms, written as CIF:
```
data_BeH2
_chemical_formula_sum 'Be4 H8'
_cell_length_a 4.508
_cell_length_b 4.165
_cell_length_c 6.810
_cell_angle_alpha 90.00
_cell_angle_beta 119.30
_cell_angle_gamma 90.00
_symmetry_space_group_name_H-M 'P 1'
_symmetry_Int_Tables_number 1
_symmetry_space_group_name_Hall 'P 1'
loop_
_atom_site_label
_atom_site_fract_x
_atom_site_fract_y
_atom_site_fract_z
_atom_site_occupancy
H1 0.773 0.550 0.588 1
H2 0.227 0.050 0.912 1
H3 0.773 0.050 0.088 1
H4 0.492 0.663 0.174 1
H5 0.508 0.663 0.826 1
H6 0.227 0.550 0.412 1
H7 0.492 0.163 0.674 1
H8 0.508 0.163 0.326 1
Be1 0.499 0.501 0.644 1
Be2 0.499 0.001 0.144 1
Be3 0.501 0.001 0.856 1
Be4 0.501 0.501 0.356 1
```

=====

What should be chosen as the least stable of them? Choose run two.